RbScFe2F: optimized geometry, PBE with a Hubbard U.

Output
Calculated density: 3.0 g/cm3
VASP energy: -2.70 eV/atom

abc: 5.601 5.601 4.620
angles: 90.00 90.00 90.00
Sites, in units of the cell vectors:
Rb (0.000, 0.000, 0.000)
Sc (0.500, 0.500, 0.500)
Fe (0.000, 0.500, 0.000)
Fe (0.500, 0.000, 0.000)
F (0.000, 0.000, 0.500)